Entry 1:
{
  "formula": "Ba2HfNbH",
  "functional": "PBE-GGA",
  "state": "relaxed",
  "cell": [[-6.509, 0.841, 0.939], [-0.390, -3.591, 0.516], [1.043, 0.819, 6.496]],
  "species": ["H", "Nb", "Hf", "Ba", "Ba"],
  "frac_coords": [[0.000, 0.500, 0.000], [0.500, 0.500, 0.500], [0.000, 0.000, 0.000], [0.000, 0.000, 0.500], [0.500, 0.000, 0.000]],
  "space_group": "No. 123",
  "total_energy_ev_per_atom": -4.29
}


Entry 2:
{
  "formula": "Nb2CdAgH",
  "functional": "PBE-GGA",
  "state": "relaxed",
  "cell": [[-2.894, 0.929, -2.650], [0.437, -3.611, -1.742], [-3.230, -1.790, 2.900]],
  "species": ["H", "Nb", "Nb", "Ag", "Cd"],
  "frac_coords": [[0.000, 0.000, 0.000], [0.000, 0.500, 0.000], [0.500, 0.000, 0.000], [0.000, 0.000, 0.500], [0.500, 0.500, 0.500]],
  "space_group": "No. 123",
  "polymorph_energy_mev_per_atom": 0
}


Number 1: N(E_F) 7.27 states/eV per cell. Number 2: N(E_F) 2.64 states/eV per cell.